# Cr2Ge2O7

Cr2Ge2O7 after structural relaxation (GGA+U, Alexandria via LeMat-Bulk).

```
Cr2Ge2O7
1.0
3.359 -3.427 0.000
3.359 3.427 0.000
0.000 0.000 5.021
Cr Ge O
2 2 7
direct
0.219 0.781 0.000
0.781 0.219 0.000
0.235 0.235 0.500
0.765 0.765 0.500
0.000 0.000 0.263
0.000 0.000 0.737
0.000 0.500 0.250
0.000 0.500 0.750
0.500 0.000 0.250
0.500 0.000 0.750
0.500 0.500 0.500
```

Calculated values
Raw total energy, eV per atom: -6.59
Density of states at the Fermi level, states/eV/f.u.: 0.31
Magnetic moment, μB per cell: 6.0
Crystal system: orthorhombic